Here is crystalline Pr3Nd5Rh2 at its relaxed geometry from Alexandria. Energies are from PBE-GGA.

**Calculated total energy**: -55.009 eV per formula unit
**DOS(E_F)**: 25.6 states/eV per cell
**DFT formation energy**: -0.2129 eV per atom

abc: 8.1234 10.2023 10.2023
angles: 63.27 66.54 66.54
Closest atoms and distances in Å follow each position.
Fractional coordinates of all 20 atoms:
Nd  0.4914  0.2586  0.2586  2 Rh 2.79
Pr  0.1317  0.1327  0.6039  1 Rh 2.85
Nd  0.9914  0.2586  0.2586  2 Rh 2.79
Nd  0.2500  0.5000  0.5000  8 Nd 3.71-4.06, 4 Pr 3.82
Nd  0.8827  0.3812  0.8533  1 Rh 2.82
Pr  0.8683  0.8673  0.3961  1 Rh 2.85
Rh  0.6345  0.8674  0.8637  3 Nd 2.79-2.82, 3 Pr 2.85-2.90
Nd  0.5086  0.7414  0.7414  2 Rh 2.79
Pr  0.6317  0.6039  0.1327  1 Rh 2.85
Pr  0.2500  0.0000  0.0000  4 Rh 2.90
Rh  0.3655  0.1326  0.1363  3 Nd 2.79-2.82, 3 Pr 2.85-2.90
Pr  0.7500  0.0000  0.0000  4 Rh 2.90
Pr  0.3683  0.3961  0.8673  1 Rh 2.85
Nd  0.1173  0.6188  0.1467  1 Rh 2.82
Nd  0.6173  0.1467  0.6188  1 Rh 2.82
Nd  0.3827  0.8533  0.3812  1 Rh 2.82
Rh  0.8655  0.1363  0.1326  3 Nd 2.79-2.82, 3 Pr 2.85-2.90
Nd  0.0086  0.7414  0.7414  2 Rh 2.79
Rh  0.1345  0.8637  0.8674  3 Nd 2.79-2.82, 3 Pr 2.85-2.90
Nd  0.7500  0.5000  0.5000  8 Nd 3.71-4.06, 4 Pr 3.82

=====

Here is crystalline PrNd3Rh at its relaxed geometry from Alexandria. Energies are from PBE-GGA.

**Calculated total energy**: -27.648 eV per formula unit
**DOS(E_F)**: 21.5 states/eV per cell
**Offset from the most stable computed form**: 0.0 kJ per mole of atoms
**DFT formation energy**: -0.2428 eV per atom

abc: 7.4709 8.3281 10.4032
angles: 108.06 90.00 90.00
Closest atoms and distances in Å follow each position.
Fractional coordinates of all 20 atoms:
Rh  0.7582  0.0737  0.9047  6 Nd 2.86-3.03
Nd  0.2121  0.5615  0.5216  1 Rh 2.91
Nd  0.0009  0.7828  0.8765  2 Rh 2.86-2.97
Nd  0.8692  0.9190  0.6126  3 Rh 2.91-3.03
Nd  0.7879  0.4385  0.4784  1 Rh 2.91
Pr  0.4658  0.3148  0.2383  8 Nd 3.38-3.73, 2 Rh 3.54-3.67
Nd  0.9991  0.2172  0.1235  2 Rh 2.86-2.97
Nd  0.6308  0.9190  0.1126  3 Rh 2.91-3.03
Nd  0.7121  0.4385  0.9784  1 Rh 2.91
Nd  0.2879  0.5615  0.0216  1 Rh 2.91
Pr  0.5342  0.6852  0.7617  8 Nd 3.38-3.73, 2 Rh 3.54-3.67
Nd  0.5009  0.2172  0.6235  2 Rh 2.86-2.97
Rh  0.2582  0.9263  0.5953  6 Nd 2.86-3.03
Pr  0.9658  0.6852  0.2617  8 Nd 3.38-3.73, 2 Rh 3.54-3.67
Pr  0.0342  0.3148  0.7383  8 Nd 3.38-3.73, 2 Rh 3.54-3.67
Nd  0.3692  0.0810  0.8874  3 Rh 2.91-3.03
Rh  0.2418  0.9263  0.0953  6 Nd 2.86-3.03
Nd  0.4991  0.7828  0.3765  2 Rh 2.86-2.97
Rh  0.7418  0.0737  0.4047  6 Nd 2.86-3.03
Nd  0.1308  0.0810  0.3874  3 Rh 2.91-3.03

=====

Here is crystalline Pr2NdRh at its relaxed geometry from Alexandria. Energies are from PBE-GGA.

**Calculated total energy**: -22.721 eV per formula unit
**DOS(E_F)**: 5.6 states/eV per cell
**Offset from the most stable computed form**: 14.2 kJ per mole of atoms
**DFT formation energy**: -0.2606 eV per atom

abc: 3.9784 3.9784 9.7775
angles: 78.26 78.26 60.00
Closest atoms and distances in Å follow each position.
Fractional coordinates of all 4 atoms:
Nd  0.5005  0.5005  0.4985  6 Pr 3.81-3.84, 6 Nd 3.98
Pr  0.0592  0.0592  0.8224  3 Rh 2.86
Rh  0.6663  0.6663  0.0011  6 Pr 2.85-2.86
Pr  0.2740  0.2740  0.1781  3 Rh 2.85

=====

Here is crystalline PrNd2Rh3 at its relaxed geometry from Alexandria. Energies are from PBE-GGA.

**Calculated total energy**: -40.125 eV per formula unit
**DOS(E_F)**: 5.2 states/eV per cell
**DFT formation energy**: -0.6259 eV per atom

abc: 5.0274 5.0274 6.1460
angles: 90.00 90.00 120.00
Closest atoms and distances in Å follow each position.
Fractional coordinates of all 6 atoms:
Nd  0.6667  0.3333  0.3338  8 Rh 3.06-3.09
Nd  0.3333  0.6667  0.6662  8 Rh 3.06-3.09
Rh  0.0000  0.0000  0.5000  2 Pr 3.07, 6 Nd 3.08
Rh  0.3333  0.6667  0.1689  5 Nd 3.06-3.09, 3 Pr 3.08
Pr  0.0000  0.0000  0.0000  8 Rh 3.07-3.08
Rh  0.6667  0.3333  0.8311  5 Nd 3.06-3.09, 3 Pr 3.08

=====

Here is crystalline PrNd2Rh2 at its relaxed geometry from Alexandria. Energies are from PBE-GGA.

**Calculated total energy**: -31.703 eV per formula unit
**DOS(E_F)**: 4.5 states/eV per cell
**Offset from the most stable computed form**: 1.5 kJ per mole of atoms
**DFT formation energy**: -0.5370 eV per atom

abc: 6.2213 6.2212 6.7872
angles: 123.06 123.06 101.39
Closest atoms and distances in Å follow each position.
Fractional coordinates of all 5 atoms:
Nd  0.8123  0.1877  0.5000  4 Rh 3.04
Rh  0.5000  0.5000  0.7949  1 Rh 2.78, 2 Pr 2.83, 4 Nd 3.04
Nd  0.1877  0.8123  0.5000  4 Rh 3.04
Pr  0.0000  0.0000  0.0000  4 Rh 2.83
Rh  0.5000  0.5000  0.2051  1 Rh 2.78, 2 Pr 2.83, 4 Nd 3.04

=====

Here is crystalline PrNd4Rh at its relaxed geometry from Alexandria. Energies are from PBE-GGA.

**Calculated total energy**: -32.346 eV per formula unit
**DOS(E_F)**: 15.0 states/eV per cell
**DFT formation energy**: -0.1907 eV per atom

abc: 6.0831 7.6780 9.6429
angles: 113.46 108.43 90.00
Closest atoms and distances in Å follow each position.
Fractional coordinates of all 12 atoms:
Nd  0.3845  0.1333  0.7691  2 Rh 3.06
Nd  0.1709  0.6707  0.3414  2 Rh 3.27, 2 Nd 3.63
Rh  0.7308  0.5000  0.0000  6 Nd 2.79-3.06, 1 Rh 2.81
Nd  0.3845  0.6357  0.7691  2 Rh 3.06
Nd  0.0000  0.2055  0.0000  2 Rh 2.79
Rh  0.2692  0.5000  0.0000  6 Nd 2.79-3.06, 1 Rh 2.81
Nd  0.0000  0.7945  0.0000  2 Rh 2.79
Nd  0.6155  0.8667  0.2309  2 Rh 3.06
Nd  0.8291  0.3293  0.6586  2 Rh 3.27, 2 Nd 3.63
Nd  0.6155  0.3643  0.2309  2 Rh 3.06
Pr  0.1983  0.1987  0.3974  12 Nd 3.64-3.87
Pr  0.8017  0.8013  0.6026  12 Nd 3.64-3.87